Entry 1:
CaTi2PAu: optimized geometry, GGA-PBEsol.

```
data_CaTi2PAu
_chemical_formula_sum 'Ca1 Ti2 P1 Au1'
_cell_length_a 4.829
_cell_length_b 4.739
_cell_length_c 4.739
_cell_angle_alpha 90.00
_cell_angle_beta 90.00
_cell_angle_gamma 90.00
_symmetry_space_group_name_H-M 'P 1'
_symmetry_Int_Tables_number 1
loop_
_symmetry_equiv_pos_as_xyz
'x,y,z'
loop_
_atom_site_label
_atom_site_fract_x
_atom_site_fract_y
_atom_site_fract_z
Ti1 0.000 0.000 0.500
Ti2 0.000 0.500 0.000
Au1 0.500 0.000 0.000
P1 0.500 0.500 0.500
Ca1 0.000 0.000 0.000
```

total moment: 2.14 μB/cell
space group: P4/mmm (123)
V: 21.69 A^3/atom



Entry 2:
CaPb2Au: optimized geometry, GGA-PBEsol.

```
data_CaPb2Au
_chemical_formula_sum 'Ca1 Pb2 Au1'
_cell_length_a 4.587
_cell_length_b 4.587
_cell_length_c 5.717
_cell_angle_alpha 113.65
_cell_angle_beta 113.65
_cell_angle_gamma 90.00
_symmetry_space_group_name_H-M 'P 1'
_symmetry_Int_Tables_number 1
loop_
_symmetry_equiv_pos_as_xyz
'x,y,z'
loop_
_atom_site_label
_atom_site_fract_x
_atom_site_fract_y
_atom_site_fract_z
Pb1 0.750 0.250 0.500
Pb2 0.000 0.000 0.000
Au1 0.500 0.500 0.000
Ca1 0.250 0.750 0.500
```

total moment: 0.00 μB/cell
space group: I-4m2 (119)
V: 24.76 A^3/atom



Entry 3:
Ca2PbAu: optimized geometry, GGA-PBEsol.

```
data_Ca2PbAu
_chemical_formula_sum 'Ca2 Pb1 Au1'
_cell_length_a 3.635
_cell_length_b 5.036
_cell_length_c 6.579
_cell_angle_alpha 112.50
_cell_angle_beta 106.04
_cell_angle_gamma 90.00
_symmetry_space_group_name_H-M 'P 1'
_symmetry_Int_Tables_number 1
loop_
_symmetry_equiv_pos_as_xyz
'x,y,z'
loop_
_atom_site_label
_atom_site_fract_x
_atom_site_fract_y
_atom_site_fract_z
Ca1 0.959 0.959 0.917
Ca2 0.750 0.250 0.500
Pb1 0.541 0.541 0.082
Au1 0.250 0.750 0.501
```

total moment: 0.00 μB/cell
space group: Imm2 (44)
V: 26.54 A^3/atom



Entry 4:
Ca2PbAu: optimized geometry, GGA-PBEsol.

```
data_Ca2PbAu
_chemical_formula_sum 'Ca2 Pb1 Au1'
_cell_length_a 3.586
_cell_length_b 5.334
_cell_length_c 5.334
_cell_angle_alpha 90.00
_cell_angle_beta 90.00
_cell_angle_gamma 90.00
_symmetry_space_group_name_H-M 'P 1'
_symmetry_Int_Tables_number 1
loop_
_symmetry_equiv_pos_as_xyz
'x,y,z'
loop_
_atom_site_label
_atom_site_fract_x
_atom_site_fract_y
_atom_site_fract_z
Pb1 0.500 0.500 0.000
Au1 0.500 0.000 0.500
Ca1 0.000 0.000 0.000
Ca2 0.000 0.500 0.500
```

total moment: 0.00 μB/cell
space group: P4/mmm (123)
V: 25.51 A^3/atom



Entry 5:
CaPbAu: optimized geometry, GGA-PBEsol.

```
data_CaPbAu
_chemical_formula_sum 'Ca1 Pb1 Au1'
_cell_length_a 3.612
_cell_length_b 3.612
_cell_length_c 6.234
_cell_angle_alpha 106.84
_cell_angle_beta 106.84
_cell_angle_gamma 90.00
_symmetry_space_group_name_H-M 'P 1'
_symmetry_Int_Tables_number 1
loop_
_symmetry_equiv_pos_as_xyz
'x,y,z'
loop_
_atom_site_label
_atom_site_fract_x
_atom_site_fract_y
_atom_site_fract_z
Ca1 0.354 0.354 0.708
Au1 0.998 0.998 0.996
Pb1 0.648 0.648 0.297
```

total moment: 0.00 μB/cell
space group: I4mm (107)
V: 24.73 A^3/atom



Entry 6:
CaPb2Au: optimized geometry, GGA-PBEsol.

```
data_CaPb2Au
_chemical_formula_sum 'Ca1 Pb2 Au1'
_cell_length_a 3.858
_cell_length_b 4.482
_cell_length_c 6.474
_cell_angle_alpha 90.00
_cell_angle_beta 107.34
_cell_angle_gamma 90.00
_symmetry_space_group_name_H-M 'P 1'
_symmetry_Int_Tables_number 1
loop_
_symmetry_equiv_pos_as_xyz
'x,y,z'
loop_
_atom_site_label
_atom_site_fract_x
_atom_site_fract_y
_atom_site_fract_z
Pb1 0.313 0.500 0.626
Pb2 0.919 0.000 0.838
Au1 0.158 0.000 0.315
Ca1 0.586 0.500 0.171
```

total moment: 0.00 μB/cell
space group: Amm2 (38)
V: 26.71 A^3/atom



Entry 7:
CaPbAu4: optimized geometry, GGA-PBEsol.

```
data_CaPbAu4
_chemical_formula_sum 'Ca1 Pb1 Au4'
_cell_length_a 5.576
_cell_length_b 5.576
_cell_length_c 5.576
_cell_angle_alpha 60.00
_cell_angle_beta 60.00
_cell_angle_gamma 60.00
_symmetry_space_group_name_H-M 'P 1'
_symmetry_Int_Tables_number 1
loop_
_symmetry_equiv_pos_as_xyz
'x,y,z'
loop_
_atom_site_label
_atom_site_fract_x
_atom_site_fract_y
_atom_site_fract_z
Au1 0.375 0.375 0.874
Au2 0.874 0.375 0.375
Au3 0.375 0.874 0.375
Au4 0.375 0.375 0.375
Pb1 0.000 0.000 0.000
Ca1 0.750 0.750 0.750
```

total moment: 0.00 μB/cell
space group: F-43m (216)
V: 20.44 A^3/atom



Entry 8:
Ca2PbAu2: optimized geometry, GGA-PBEsol.

```
data_Ca2PbAu2
_chemical_formula_sum 'Ca2 Pb1 Au2'
_cell_length_a 4.856
_cell_length_b 4.856
_cell_length_c 6.646
_cell_angle_alpha 111.43
_cell_angle_beta 111.43
_cell_angle_gamma 90.00
_symmetry_space_group_name_H-M 'P 1'
_symmetry_Int_Tables_number 1
loop_
_symmetry_equiv_pos_as_xyz
'x,y,z'
loop_
_atom_site_label
_atom_site_fract_x
_atom_site_fract_y
_atom_site_fract_z
Ca1 0.750 0.250 0.500
Ca2 0.250 0.750 0.500
Au1 0.614 0.614 0.228
Au2 0.386 0.386 0.772
Pb1 0.000 0.000 0.000
```

total moment: 0.00 μB/cell
space group: I4/mmm (139)
V: 26.83 A^3/atom



Entry 9:
CaPb2Au: optimized geometry, GGA-PBEsol.

```
data_CaPb2Au
_chemical_formula_sum 'Ca1 Pb2 Au1'
_cell_length_a 3.832
_cell_length_b 3.832
_cell_length_c 7.079
_cell_angle_alpha 90.00
_cell_angle_beta 90.00
_cell_angle_gamma 90.00
_symmetry_space_group_name_H-M 'P 1'
_symmetry_Int_Tables_number 1
loop_
_symmetry_equiv_pos_as_xyz
'x,y,z'
loop_
_atom_site_label
_atom_site_fract_x
_atom_site_fract_y
_atom_site_fract_z
Pb1 0.000 0.000 0.786
Pb2 0.000 0.000 0.214
Ca1 0.500 0.500 0.500
Au1 0.500 0.500 0.000
```

total moment: 0.00 μB/cell
space group: P4/mmm (123)
V: 25.99 A^3/atom



Entry 10:
CaPbAu2: optimized geometry, GGA-PBEsol.

```
data_CaPbAu2
_chemical_formula_sum 'Ca1 Pb1 Au2'
_cell_length_a 3.690
_cell_length_b 3.690
_cell_length_c 6.529
_cell_angle_alpha 90.00
_cell_angle_beta 90.00
_cell_angle_gamma 90.00
_symmetry_space_group_name_H-M 'P 1'
_symmetry_Int_Tables_number 1
loop_
_symmetry_equiv_pos_as_xyz
'x,y,z'
loop_
_atom_site_label
_atom_site_fract_x
_atom_site_fract_y
_atom_site_fract_z
Au1 0.000 0.000 0.739
Au2 0.000 0.000 0.261
Ca1 0.500 0.500 0.500
Pb1 0.500 0.500 0.000
```

total moment: 0.00 μB/cell
space group: P4/mmm (123)
V: 22.23 A^3/atom



Entry 11:
CaPb2Au2: optimized geometry, GGA-PBEsol.

```
data_CaPb2Au2
_chemical_formula_sum 'Ca2 Pb4 Au4'
_cell_length_a 4.225
_cell_length_b 7.594
_cell_length_c 7.594
_cell_angle_alpha 90.00
_cell_angle_beta 90.00
_cell_angle_gamma 90.00
_symmetry_space_group_name_H-M 'P 1'
_symmetry_Int_Tables_number 1
loop_
_symmetry_equiv_pos_as_xyz
'x,y,z'
loop_
_atom_site_label
_atom_site_fract_x
_atom_site_fract_y
_atom_site_fract_z
Pb1 0.500 0.677 0.823
Pb2 0.500 0.323 0.177
Pb3 0.500 0.177 0.677
Pb4 0.500 0.823 0.323
Au1 0.000 0.129 0.371
Au2 0.000 0.871 0.629
Au3 0.000 0.371 0.871
Au4 0.000 0.629 0.129
Ca1 0.000 0.500 0.500
Ca2 0.000 0.000 0.000
```

total moment: 0.00 μB/cell
space group: P4/mbm (127)
V: 24.36 A^3/atom



Entry 12:
CaPbAu2: optimized geometry, GGA-PBEsol.

```
data_CaPbAu2
_chemical_formula_sum 'Ca1 Pb1 Au2'
_cell_length_a 3.934
_cell_length_b 4.367
_cell_length_c 5.802
_cell_angle_alpha 90.00
_cell_angle_beta 109.81
_cell_angle_gamma 90.00
_symmetry_space_group_name_H-M 'P 1'
_symmetry_Int_Tables_number 1
loop_
_symmetry_equiv_pos_as_xyz
'x,y,z'
loop_
_atom_site_label
_atom_site_fract_x
_atom_site_fract_y
_atom_site_fract_z
Au1 0.825 0.000 0.650
Au2 0.664 0.500 0.328
Ca1 0.103 0.000 0.206
Pb1 0.396 0.500 0.792
```

total moment: 0.00 μB/cell
space group: Amm2 (38)
V: 23.44 A^3/atom



| no. | energy relative to the elements (eV per atom) | uncorrected energy (eV/atom) |
| --- | --- | --- |
| 1 | 1.72 | -3.975 |
| 2 | -0.35 | -3.865 |
| 3 | -0.58 | -3.623 |
| 4 | -0.64 | -3.685 |
| 5 | -0.47 | -3.821 |
| 6 | -0.34 | -3.855 |
| 7 | -0.39 | -4.033 |
| 8 | -0.40 | -3.618 |
| 9 | -0.21 | -3.727 |
| 10 | -0.45 | -3.945 |
| 11 | -0.31 | -3.907 |
| 12 | -0.47 | -3.962 |